First-principles (PBE) data for RbNa2ZnGa after structural relaxation, as listed in Alexandria via LeMat-Bulk.

extended XYZ file:
```
5
Lattice="-3.8117 -4.1822 -1.7330 -0.2245 -2.0881 5.5328 -3.6884 2.9607 0.9677" Properties=species:S:1:pos:R:3 pbc="T T T"
Na -0.1123 -1.0441 2.7664
Na -1.9058 -2.0911 -0.8665
Ga 0.0000 0.0000 0.0000
Zn -1.8442 1.4804 0.4839
Rb -3.8623 -1.6548 2.3838
```

Results
Energy of formation (eV/atom): 0.0515
DFT total energy (eV per atom): -1.53
Magnetization (μB per formula unit): 0.000

=====

First-principles (PBE) data for Pr5Tm2Pb5 after structural relaxation, as listed in Alexandria via LeMat-Bulk.

extended XYZ file:
```
12
Lattice="4.5832 0.0000 0.0000 -2.2916 7.5203 -0.5016 0.0000 -4.3944 12.2635" Properties=species:S:1:pos:R:3 pbc="T T T"
Pb 0.0000 3.6869 2.3782
Pb 2.2916 -0.5610 9.3837
Pb 2.2916 3.2744 6.6102
Pb 0.0000 0.0000 0.0000
Pb 0.0000 -0.1485 5.1518
Pr 0.0000 1.4006 7.8945
Pr 2.2916 2.3136 0.2152
Pr 2.2916 1.7253 3.8675
Pr 2.2916 -2.1972 6.1318
Pr 0.0000 0.8123 11.5467
Tm 0.0000 -2.6241 9.6317
Tm 2.2916 5.7500 2.1302
```

Results
Energy of formation (eV/atom): -0.3854
DFT total energy (eV per atom): -4.67
Magnetization (μB per formula unit): 1.225

=====

First-principles (PBE) data for AcNpGaO6 after structural relaxation, as listed in Alexandria via LeMat-Bulk.

extended XYZ file:
```
9
Lattice="5.4872 0.0000 0.0000 0.0000 5.3788 0.0000 0.0000 -2.6894 4.6582" Properties=species:S:1:pos:R:3 pbc="T T T"
O 1.6002 3.4093 3.1365
O 1.6002 0.9580 1.3843
O 3.8870 4.4209 1.3843
O 3.8870 1.9696 3.1365
O 1.6002 3.7010 0.1375
O 3.8870 1.6778 0.1375
Ac 0.0000 0.0000 3.1055
Ga 2.7436 0.0000 0.0000
Np 2.7436 2.6894 1.5527
```

Results
DFT total energy (eV per atom): -8.25
Magnetization (μB per formula unit): 1.000

=====

First-principles (PBE) data for PmSm2Y4Mg after structural relaxation, as listed in Alexandria via LeMat-Bulk.

extended XYZ file:
```
8
Lattice="4.9973 0.0000 0.0000 0.0000 4.8269 1.3320 0.0000 2.1144 11.1651" Properties=species:S:1:pos:R:3 pbc="T T T"
Mg 2.4986 2.4135 0.6660
Y 0.0001 5.1946 9.4119
Y 4.9973 1.7467 3.0853
Y 2.4987 4.1608 3.7489
Y 2.4987 2.7805 8.7482
Sm 0.0000 2.1144 11.1651
Sm 2.4987 1.0572 5.5826
Pm 0.0000 3.4706 6.2486
```

Results
Energy of formation (eV/atom): 0.0241
DFT total energy (eV per atom): -5.18
Magnetization (μB per formula unit): 0.000

=====

First-principles (PBE) data for K3Pu4Br12 after structural relaxation, as listed in Alexandria via LeMat-Bulk.

extended XYZ file:
```
19
Lattice="9.3764 0.0000 -3.3151 -4.6882 8.1202 -3.3151 0.0000 0.0000 9.9452" Properties=species:S:1:pos:R:3 pbc="T T T"
K -2.3441 4.0601 3.3151
K 4.6882 0.0000 3.3151
K 2.3441 4.0601 -3.3151
Pu -2.3441 4.0601 -1.6575
Pu 2.3441 4.0601 1.6575
Pu 4.6882 0.0000 -1.6575
Pu 0.0000 0.0000 4.9726
Br 7.5373 1.6938 3.2552
Br 0.4306 4.1333 -0.6089
Br 0.8933 6.4264 2.7061
Br -2.8491 6.4264 0.0598
Br 0.5473 2.4396 3.3748
Br -1.3239 5.6806 6.0212
Br 4.2576 3.9869 3.9240
Br 2.3018 7.3744 -3.2553
Br 3.7949 1.6938 0.6089
Br 4.1409 5.6806 -0.0598
Br 6.0121 2.4396 -2.7061
Br 2.3864 0.7458 6.5703
```

Results
DFT total energy (eV per atom): -5.80
Magnetization (μB per formula unit): 23.000

=====

First-principles (PBE) data for CaTaTl2 after structural relaxation, as listed in Alexandria via LeMat-Bulk.

extended XYZ file:
```
4
Lattice="3.2043 0.0202 0.0000 -0.4242 3.1762 0.0000 0.0000 0.0000 9.9133" Properties=species:S:1:pos:R:3 pbc="T T T"
Ta 1.3900 1.5982 7.5364
Ca 0.0000 0.0000 5.1190
Tl 0.0000 0.0000 9.7460
Tl 1.3900 1.5982 2.3819
```

Results
Energy of formation (eV/atom): 0.4293
DFT total energy (eV per atom): -4.22
Magnetization (μB per formula unit): 0.000